# 1
CaTl2Ni2: relaxed, PBE.

- calculated total energy (eV per atom) = -3.644
- N(E_F) (states/eV/atom) = 0.70
- excess energy over the best structure of this formula in the dataset (meV/atom) = 0
- magnetic moment (μB/cell) = 0.00
- ρ (Mg/m³) = 8.8

abc: 4.5634 4.5634 10.3085
angles: 90.00 90.00 90.00
Space group I4/mmm (No. 139)
Unique sites:
Ca1 0.0000 0.0000 0.0000 [2 per cell]
Tl1 0.0000 0.5000 0.2500 [4 per cell]
Ni1 0.0000 0.0000 0.3897 [4 per cell]


# 2
CrCuW4: relaxed, PBE.

- calculated total energy (eV per atom) = -10.173
- N(E_F) (states/eV/atom) = 0.86
- magnetic moment (μB/cell) = 2.07
- ρ (Mg/m³) = 14.2

abc: 7.3492 7.3492 7.3492
angles: 90.00 90.00 90.00
Space group F-43m (No. 216)
Unique sites:
Cr1 0.0000 0.0000 0.0000 [4 per cell]
Cu1 0.2500 0.2500 0.2500 [4 per cell]
W1 0.1243 0.1243 0.6243 [16 per cell]


# 3
NaNbHg: relaxed, PBE.

- calculated total energy (eV per atom) = -3.796
- N(E_F) (states/eV/atom) = 0.66
- excess energy over the best structure of this formula in the dataset (meV/atom) = 0
- magnetic moment (μB/cell) = 0.00
- ρ (Mg/m³) = 7.9

abc: 2.9923 2.9925 15.3286
angles: 90.00 89.88 74.97
Space group P-1 (No. 2)
Unique sites:
Na1 0.2445 0.2511 0.3955 [2 per cell]
Nb1 0.2491 0.2503 0.0692 [2 per cell]
Hg1 0.2528 0.2492 0.7733 [2 per cell]


# 4
Cs8Au3Cl: relaxed, PBE.

- calculated total energy (eV per atom) = -2.034
- N(E_F) (states/eV/atom) = 0.74
- magnetic moment (μB/cell) = 0.02
- ρ (Mg/m³) = 3.4
- formation energy from raw total energies (kJ/mol of formula units) = -569

abc: 18.1063 10.4721 10.6867
angles: 90.00 124.89 90.00
Space group C2/m (No. 12)
Unique sites:
Cs1 0.0052 0.2447 0.2740 [8 per cell]
Cs2 0.2395 0.0000 0.7260 [4 per cell]
Cs3 0.2454 0.5000 0.7330 [4 per cell]
Au1 0.0000 0.5000 0.5000 [2 per cell]
Au2 0.2500 0.2500 0.5000 [4 per cell]
Cl1 0.0000 0.0000 0.5000 [2 per cell]


# 5
AsPdI2N: relaxed, PBE.

- calculated total energy (eV per atom) = -3.370
- N(E_F) (states/eV/atom) = 1.28
- magnetic moment (μB/cell) = 0.38
- ρ (Mg/m³) = 6.0
- formation energy from raw total energies (kJ/mol of formula units) = 426

abc: 5.8716 5.8716 3.5957
angles: 90.00 90.00 90.00
Space group P4/mmm (No. 123)
Unique sites:
As1 0.0000 0.0000 0.0000 [1 per cell]
Pd1 0.5000 0.5000 0.5000 [1 per cell]
I1 0.0000 0.5000 0.0000 [2 per cell]
N1 0.0000 0.0000 0.5000 [1 per cell]


# 6
Tb6NdTm6: relaxed, PBE.

- calculated total energy (eV per atom) = -4.300
- N(E_F) (states/eV/atom) = 1.89
- magnetic moment (μB/cell) = 3.28
- ρ (Mg/m³) = 8.1

abc: 6.6271 6.6271 11.3321
angles: 90.00 90.00 120.00
Space group P6/mmm (No. 191)
Unique sites:
Tb1 0.0000 0.0000 0.1530 [2 per cell]
Tb2 0.3333 0.6667 0.0000 [2 per cell]
Tb3 0.3333 0.6667 0.5000 [2 per cell]
Nd1 0.0000 0.0000 0.5000 [1 per cell]
Tm1 0.0000 0.5000 0.2555 [6 per cell]


# 7
Co2GeH: relaxed, PBE.

- calculated total energy (eV per atom) = -5.538
- N(E_F) (states/eV/atom) = 0.47
- excess energy over the best structure of this formula in the dataset (meV/atom) = 57
- magnetic moment (μB/cell) = 4.08
- ρ (Mg/m³) = 8.3

abc: 5.5174 5.5174 5.0311
angles: 90.00 90.00 90.00
Space group I-42d (No. 122)
Unique sites:
Co1 0.1516 0.7500 0.1250 [8 per cell]
Ge1 0.0000 0.0000 0.5000 [4 per cell]
H1 0.0000 0.0000 0.0000 [4 per cell]


# 8
La2Mo2N: relaxed, PBE.

- calculated total energy (eV per atom) = -7.310
- N(E_F) (states/eV/atom) = 1.00
- excess energy over the best structure of this formula in the dataset (meV/atom) = 328
- magnetic moment (μB/cell) = 0.00
- ρ (Mg/m³) = 7.1
- formation energy from raw total energies (kJ/mol of formula units) = 318

abc: 5.8367 5.8367 6.6229
angles: 90.00 90.00 90.00
Space group I4/mmm (No. 139)
Unique sites:
La1 0.0000 0.5000 0.2500 [4 per cell]
Mo1 0.0000 0.0000 0.2092 [4 per cell]
N1 0.0000 0.0000 0.5000 [2 per cell]


# 9
TlTeIr2Pb: relaxed, PBE.

- calculated total energy (eV per atom) = -3.848
- N(E_F) (states/eV/atom) = 1.63
- magnetic moment (μB/cell) = 0.78
- ρ (Mg/m³) = 10.7
- formation energy from raw total energies (kJ/mol of formula units) = 743

abc: 5.0769 5.0769 5.5821
angles: 90.00 90.00 90.00
Space group P4/mmm (No. 123)
Unique sites:
Tl1 0.0000 0.0000 0.0000 [1 per cell]
Te1 0.0000 0.0000 0.5000 [1 per cell]
Ir1 0.0000 0.5000 0.0000 [2 per cell]
Pb1 0.5000 0.5000 0.5000 [1 per cell]